A plane-wave DFT calculation with PBE with a Hubbard U was carried out for crystalline Na2NiCl2F2 at its relaxed geometry.

Cell and atoms, written as POSCAR:
```
Na2NiCl2F2
1.0
6.010 -1.810 0.000
6.010 1.810 0.000
-3.154 0.000 5.640
Na Ni Cl F
2 1 2 2
Direct
0.211 0.211 0.176
0.789 0.789 0.824
0.000 0.000 0.500
0.426 0.426 0.668
0.574 0.574 0.332
0.168 0.168 0.791
0.832 0.832 0.209
```

## Properties
D(E_F) (states/eV per cell): 0.0
Energy (eV/atom): -3.7587